No. 1
Density functional theory data (PBE) for a geometry-optimized Tl2Bi8Au3 structure.

Cell: 6.419 7.324 9.506 Å, 112.66 102.83 90.00°
Fractional positions:
1 Tl 0.718 0.839 0.679
2 Tl 0.282 0.161 0.321
3 Bi 0.677 0.438 0.875
4 Bi 0.323 0.562 0.125
5 Bi 0.172 0.723 0.446
6 Bi 0.828 0.277 0.554
7 Bi 0.759 0.365 0.242
8 Bi 0.759 0.876 0.242
9 Bi 0.241 0.124 0.758
10 Bi 0.241 0.635 0.758
11 Au 0.500 0.000 0.000
12 Au 0.000 0.802 0.000
13 Au 0.000 0.198 0.000

Computed properties:
crystal system: monoclinic
energy of formation: 0.045 eV per atom
density: 11.083 Mg/m³
total magnetic moment: 0.000 μB/f.u.
space-group type: C2/m, No. 12

No. 2
Density functional theory data (PBE) for a geometry-optimized TlBiAu2 structure.

Cell: 4.379 6.994 6.863 Å, 90.00 90.00 108.25°
Fractional positions:
1 Tl 0.954 0.908 0.250
2 Tl 0.046 0.092 0.750
3 Bi 0.225 0.451 0.250
4 Bi 0.775 0.549 0.750
5 Au 0.392 0.783 0.961
6 Au 0.608 0.217 0.039
7 Au 0.608 0.217 0.461
8 Au 0.392 0.783 0.539

Computed properties:
crystal system: orthorhombic
energy of formation: -0.001 eV per atom
density: 13.428 Mg/m³
total magnetic moment: 0.000 μB/f.u.
space-group type: Cmcm, No. 63

No. 3
Density functional theory data (PBE) for a geometry-optimized TlBi3Au8 structure.

Cell: 5.797 5.797 9.151 Å, 90.00 90.00 120.00°
Fractional positions:
1 Tl 0.000 0.000 0.563
2 Bi 0.667 0.333 0.442
3 Bi 0.667 0.333 0.044
4 Bi 0.000 0.000 0.961
5 Au 0.333 0.667 0.499
6 Au 0.333 0.667 0.996
7 Au 0.503 0.007 0.747
8 Au 0.503 0.497 0.747
9 Au 0.993 0.497 0.747
10 Au 0.164 0.328 0.251
11 Au 0.164 0.836 0.251
12 Au 0.672 0.836 0.251

Computed properties:
crystal system: trigonal
energy of formation: -0.021 eV per atom
density: 15.011 Mg/m³
total magnetic moment: 0.000 μB/f.u.
space-group type: P3m1, No. 156